! PaPdCl2 | Alexandria | PBE-GGA | relaxed; values from VASP
! - Uncorrected formation energy: -3.09 eV per formula unit
! - Uncorrected energy: -5.37 eV per atom
&SYSTEM
  ibrav = 0, nat = 4, ntyp = 3
/
ATOMIC_SPECIES
Pa 231.04 Pa.upf
Pd 106.42 Pd.upf
Cl 35.45 Cl.upf
CELL_PARAMETERS angstrom
3.355 0.000 0.000
1.678 2.906 0.000
1.678 0.969 8.833
ATOMIC_POSITIONS crystal
Pa 0.500 0.500 0.500
Pd 0.000 0.000 0.000
Cl 0.910 0.910 0.270
Cl 0.090 0.090 0.730